Entry 1:
The following is a GGA-PBE calculation of a geometry-optimized SrSnRh2 structure, from the Alexandria database. Values from VASP.

```
&SYSTEM
  ibrav = 0, nat = 8, ntyp = 3
/
ATOMIC_SPECIES
Sr 87.62 Sr.upf
Rh 102.91 Rh.upf
Sn 118.71 Sn.upf
CELL_PARAMETERS angstrom
7.561 0.000 0.000
0.000 7.561 0.000
3.781 3.781 3.238
ATOMIC_POSITIONS angstrom
Sr 3.781 3.781 0.000
Sr 3.781 7.561 1.619
Rh 6.051 1.890 0.809
Rh 1.510 5.671 0.809
Rh 5.671 5.291 2.428
Rh 9.452 9.832 2.428
Sn 0.000 0.000 0.000
Sn 7.561 3.781 1.619
```

Calculated values
crystal system	tetragonal
total energy	-5.145	eV/atom

Entry 2:
The following is a GGA-PBE calculation of a geometry-optimized Sr6SnRh2 structure, from the Alexandria database. Values from VASP.

```
&SYSTEM
  ibrav = 0, nat = 18, ntyp = 3
/
ATOMIC_SPECIES
Sr 87.62 Sr.upf
Sn 118.71 Sn.upf
Rh 102.91 Rh.upf
CELL_PARAMETERS angstrom
8.548 0.393 -3.561
-4.879 7.634 -1.954
0.017 -0.393 9.260
ATOMIC_POSITIONS angstrom
Sr 0.550 6.183 3.097
Sr 3.136 1.452 0.648
Sr -3.070 6.183 0.689
Sr 6.756 1.452 3.057
Sr 6.659 0.495 -0.721
Sr -2.972 7.139 4.466
Sr -0.415 3.330 0.623
Sr 4.101 4.305 3.122
Sr 4.244 2.798 -2.923
Sr -0.557 4.836 6.669
Sr 1.075 2.406 4.217
Sr 2.612 5.229 -0.472
Sn -2.431 3.621 3.653
Sn 0.000 0.000 0.000
Rh 3.719 0.840 3.698
Rh -0.032 6.794 0.048
Rh 2.370 5.185 -3.562
Rh 1.299 2.842 -1.953
```

Calculated values
crystal system	orthorhombic
total energy	-3.524	eV/atom

Entry 3:
The following is a GGA-PBE calculation of a geometry-optimized SrSn2Rh2 structure, from the Alexandria database. Values from VASP.

```
&SYSTEM
  ibrav = 0, nat = 10, ntyp = 3
/
ATOMIC_SPECIES
Sr 87.62 Sr.upf
Rh 102.91 Rh.upf
Sn 118.71 Sn.upf
CELL_PARAMETERS angstrom
-1.354 4.004 -6.862
4.348 -5.452 -4.040
-2.610 -1.720 -0.489
ATOMIC_POSITIONS angstrom
Sr 0.000 0.000 0.000
Sr 1.497 -0.724 -5.451
Rh 3.260 -3.251 -5.974
Rh 1.603 -0.020 -8.494
Rh -0.266 1.803 -4.928
Rh 1.391 -1.427 -2.407
Sn 1.324 -3.806 -3.921
Sn 1.500 -2.873 -8.144
Sn -0.940 0.638 -7.469
Sn -1.115 -0.295 -3.246
```

Calculated values
crystal system	tetragonal
total energy	-5.291	eV/atom

Entry 4:
The following is a GGA-PBE calculation of a geometry-optimized SrSnRh structure, from the Alexandria database. Values from VASP.

```
&SYSTEM
  ibrav = 0, nat = 3, ntyp = 3
/
ATOMIC_SPECIES
Sr 87.62 Sr.upf
Rh 102.91 Rh.upf
Sn 118.71 Sn.upf
CELL_PARAMETERS angstrom
3.528 0.000 0.000
0.000 3.528 0.000
-1.764 -1.764 5.825
ATOMIC_POSITIONS angstrom
Sr 0.000 0.000 0.092
Rh 1.764 1.764 2.300
Sn 0.000 0.000 3.433
```

Calculated values
crystal system	tetragonal
total energy	-4.822	eV/atom

Entry 5:
The following is a GGA-PBE calculation of a geometry-optimized SrSn2Rh structure, from the Alexandria database. Values from VASP.

```
&SYSTEM
  ibrav = 0, nat = 16, ntyp = 3
/
ATOMIC_SPECIES
Sr 87.62 Sr.upf
Sn 118.71 Sn.upf
Rh 102.91 Rh.upf
CELL_PARAMETERS angstrom
6.118 0.000 0.000
0.000 7.487 0.000
0.000 0.000 8.529
ATOMIC_POSITIONS angstrom
Sr 2.371 1.872 0.315
Sr 5.430 5.615 3.950
Sr 3.747 5.615 8.214
Sr 0.688 1.872 4.580
Sn 5.412 0.394 1.506
Sn 2.353 7.092 2.759
Sn 0.706 4.137 7.023
Sn 3.765 3.349 5.770
Sn 0.706 7.092 7.023
Sn 3.765 0.394 5.770
Sn 5.412 3.349 1.506
Sn 2.353 4.137 2.759
Rh 3.858 1.872 3.424
Rh 0.799 5.615 0.841
Rh 2.260 5.615 5.105
Rh 5.319 1.872 7.688
```

Calculated values
crystal system	orthorhombic
total energy	-4.820	eV/atom

Entry 6:
The following is a GGA-PBE calculation of a geometry-optimized SrSn6Rh structure, from the Alexandria database. Values from VASP.

```
&SYSTEM
  ibrav = 0, nat = 8, ntyp = 3
/
ATOMIC_SPECIES
Sr 87.62 Sr.upf
Sn 118.71 Sn.upf
Rh 102.91 Rh.upf
CELL_PARAMETERS angstrom
-1.552 -0.471 4.058
1.868 -6.834 -0.078
5.759 3.224 2.577
ATOMIC_POSITIONS angstrom
Sr 4.574 1.933 4.327
Sn 1.737 0.230 3.045
Sn 5.420 -1.513 4.251
Sn 2.051 -2.306 0.517
Sn 4.703 -3.561 1.386
Sn 4.390 -0.316 1.642
Sn 2.354 -5.579 0.253
Rh 2.176 -4.268 2.691
```

Calculated values
crystal system	orthorhombic
total energy	-4.398	eV/atom

Entry 7:
The following is a GGA-PBE calculation of a geometry-optimized Sr3Sn4Rh2 structure, from the Alexandria database. Values from VASP.

```
&SYSTEM
  ibrav = 0, nat = 9, ntyp = 3
/
ATOMIC_SPECIES
Sr 87.62 Sr.upf
Sn 118.71 Sn.upf
Rh 102.91 Rh.upf
CELL_PARAMETERS angstrom
-1.186 3.297 -3.269
-5.831 -1.008 -2.416
-5.371 4.037 6.017
ATOMIC_POSITIONS angstrom
Sr -8.978 4.028 0.292
Sr 0.000 0.000 0.000
Sr -3.411 2.298 0.040
Sn -4.630 2.150 -3.179
Sn -7.758 4.176 3.511
Sn -5.531 5.126 0.148
Sn -6.857 1.200 0.184
Rh -6.384 3.203 -1.479
Rh -6.004 3.123 1.810
```

Calculated values
ΔE to the lowest computed polymorph	0.000	eV per atom
crystal system	monoclinic
total energy	-4.605	eV/atom

Entry 8:
The following is a GGA-PBE calculation of a geometry-optimized Sr3SnRh structure, from the Alexandria database. Values from VASP.

```
&SYSTEM
  ibrav = 0, nat = 5, ntyp = 3
/
ATOMIC_SPECIES
Sr 87.62 Sr.upf
Rh 102.91 Rh.upf
Sn 118.71 Sn.upf
CELL_PARAMETERS angstrom
5.703 0.000 0.000
0.000 5.703 0.000
0.000 0.000 5.703
ATOMIC_POSITIONS angstrom
Sr 0.000 2.851 0.000
Sr 0.000 0.000 2.851
Sr 2.851 0.000 0.000
Rh 0.000 0.000 0.000
Sn 2.851 2.851 2.851
```

Calculated values
ΔE to the lowest computed polymorph	0.000	eV per atom
crystal system	cubic
total energy	-3.517	eV/atom

Entry 9:
The following is a GGA-PBE calculation of a geometry-optimized SrSn3Rh structure, from the Alexandria database. Values from VASP.

```
&SYSTEM
  ibrav = 0, nat = 20, ntyp = 3
/
ATOMIC_SPECIES
Sr 87.62 Sr.upf
Sn 118.71 Sn.upf
Rh 102.91 Rh.upf
CELL_PARAMETERS angstrom
-2.895 -0.050 3.516
-0.298 -9.274 -0.377
9.158 -0.600 7.533
ATOMIC_POSITIONS angstrom
Sr -2.270 -7.560 2.449
Sr 3.793 -6.720 4.504
Sr 2.172 -3.205 6.169
Sr 8.234 -2.364 8.223
Sn -0.148 -5.279 1.279
Sn 6.112 -4.645 9.394
Sn 3.093 -0.845 4.010
Sn 2.872 -9.079 6.662
Sn 5.466 -3.917 5.921
Sn -0.485 -1.296 4.008
Sn 6.449 -8.628 6.664
Sn 4.233 -6.432 7.821
Sn 1.731 -3.492 2.851
Sn 4.926 -1.831 8.457
Sn 0.498 -6.007 4.751
Sn 1.039 -8.094 2.216
Rh 5.230 -1.179 5.766
Rh 6.860 -5.933 7.041
Rh -0.896 -3.991 3.632
Rh 0.734 -8.745 4.907
```

Calculated values
crystal system	orthorhombic
total energy	-4.750	eV/atom

Entry 10:
The following is a GGA-PBE calculation of a geometry-optimized SrSn2Rh4 structure, from the Alexandria database. Values from VASP.

```
&SYSTEM
  ibrav = 0, nat = 14, ntyp = 3
/
ATOMIC_SPECIES
Sr 87.62 Sr.upf
Sn 118.71 Sn.upf
Rh 102.91 Rh.upf
CELL_PARAMETERS angstrom
-4.020 -0.558 -0.627
0.429 -7.261 3.714
-1.614 3.570 7.166
ATOMIC_POSITIONS angstrom
Sr -2.010 -0.279 -0.314
Sr -0.593 -1.846 5.440
Sn -1.152 1.120 6.385
Sn -0.034 -4.811 4.495
Sn -2.871 -2.960 7.587
Sn -2.335 -1.290 2.665
Rh -0.542 0.707 2.840
Rh -0.644 -4.398 8.040
Rh -2.881 0.739 4.361
Rh -2.325 -4.988 5.892
Rh -3.211 -0.289 7.389
Rh -1.995 -3.960 2.863
Rh 0.027 -2.308 1.880
Rh -1.213 -1.383 9.000
```

Calculated values
crystal system	tetragonal
total energy	-6.024	eV/atom

Entry 11:
The following is a GGA-PBE calculation of a geometry-optimized SrSnRh structure, from the Alexandria database. Values from VASP.

```
&SYSTEM
  ibrav = 0, nat = 3, ntyp = 3
/
ATOMIC_SPECIES
Sr 87.62 Sr.upf
Rh 102.91 Rh.upf
Sn 118.71 Sn.upf
CELL_PARAMETERS angstrom
-2.347 -3.361 -2.100
3.699 -2.611 0.045
-2.909 -0.135 3.467
ATOMIC_POSITIONS angstrom
Sr -2.271 -3.201 0.926
Rh 1.106 -2.345 0.836
Sn -0.391 -0.561 -0.350
```

Calculated values
crystal system	hexagonal
total energy	-4.847	eV/atom

Entry 12:
The following is a GGA-PBE calculation of a geometry-optimized SrSn2Rh2 structure, from the Alexandria database. Values from VASP.

```
&SYSTEM
  ibrav = 0, nat = 10, ntyp = 3
/
ATOMIC_SPECIES
Sr 87.62 Sr.upf
Rh 102.91 Rh.upf
Sn 118.71 Sn.upf
CELL_PARAMETERS angstrom
-1.608 -1.335 7.920
-2.958 -7.411 -1.850
2.800 -1.208 0.365
ATOMIC_POSITIONS angstrom
Sr 0.000 0.000 0.000
Sr -2.283 -4.373 3.035
Rh -0.826 -5.741 0.250
Rh -2.141 -7.689 3.891
Rh -0.940 -4.214 6.184
Rh 0.375 -2.266 2.544
Sn -3.163 -6.931 1.314
Sn -3.264 -5.838 5.713
Sn -1.403 -1.815 4.756
Sn -1.302 -2.909 0.357
```

Calculated values
crystal system	tetragonal
total energy	-5.243	eV/atom

Q: What is the total energy in the tenth record?
A: -6.024 eV/atom